Record 1
Here is an optimized crystal structure of Sr3GePb from the Alexandria database. Energies are from GGA-PBE.

Values from the calculation:
Crystal system: cubic
Density, Mg/m³: 4.14
Calculated formation energy, eV/f.u.: -1.33

a = 6.013 Å, b = 6.013 Å, c = 6.013 Å
α = 90.00°, β = 90.00°, γ = 90.00°
Fractional positions:
1 Sr 0.000 0.000 0.500
2 Sr 0.000 0.500 0.000
3 Sr 0.500 0.000 0.000
4 Ge 0.000 0.000 0.000
5 Pb 0.500 0.500 0.500


Record 2
Here is an optimized crystal structure of Sr8GePb2 from the Alexandria database. Energies are from GGA-PBE.

Values from the calculation:
Crystal system: monoclinic
Density, Mg/m³: 4.43
Calculated formation energy, eV/f.u.: -3.95

a = 10.807 Å, b = 10.807 Å, c = 7.785 Å
α = 104.24°, β = 104.24°, γ = 30.47°
Fractional positions:
1 Sr 0.029 0.029 0.295
2 Sr 0.212 0.212 0.805
3 Sr 0.347 0.347 0.542
4 Sr 0.408 0.408 0.076
5 Sr 0.592 0.592 0.924
6 Sr 0.653 0.653 0.458
7 Sr 0.788 0.788 0.195
8 Sr 0.971 0.971 0.705
9 Ge 0.500 0.500 0.500
10 Pb 0.189 0.189 0.224
11 Pb 0.811 0.811 0.776


Record 3
Here is an optimized crystal structure of Sr2Ge2Pb from the Alexandria database. Energies are from GGA-PBE.

Values from the calculation:
Crystal system: tetragonal
Density, Mg/m³: 5.29
Calculated formation energy, eV/f.u.: -0.54

a = 6.990 Å, b = 6.990 Å, c = 6.990 Å
α = 135.43°, β = 135.43°, γ = 64.86°
Fractional positions:
1 Sr 0.250 0.750 0.500
2 Sr 0.750 0.250 0.500
3 Ge 0.099 0.099 0.000
4 Ge 0.901 0.901 0.000
5 Pb 0.500 0.500 0.000


Record 4
Here is an optimized crystal structure of Sr2Ge2Pb from the Alexandria database. Energies are from GGA-PBE.

Values from the calculation:
Crystal system: orthorhombic
Density, Mg/m³: 5.90
Calculated formation energy, eV/f.u.: -2.72

a = 8.074 Å, b = 8.074 Å, c = 4.652 Å
α = 90.00°, β = 90.00°, γ = 150.69°
Fractional positions:
1 Sr 0.133 0.867 0.000
2 Sr 0.867 0.133 0.000
3 Ge 0.299 0.701 0.500
4 Ge 0.701 0.299 0.500
5 Pb 0.500 0.500 0.500


Record 5
Here is an optimized crystal structure of SrGe3Pb from the Alexandria database. Energies are from GGA-PBE.

Values from the calculation:
Crystal system: cubic
Density, Mg/m³: 5.19
Calculated formation energy, eV/f.u.: 2.43

a = 5.475 Å, b = 5.475 Å, c = 5.475 Å
α = 90.00°, β = 90.00°, γ = 90.00°
Fractional positions:
1 Sr 0.000 0.000 0.000
2 Ge 0.000 0.500 0.500
3 Ge 0.500 0.000 0.500
4 Ge 0.500 0.500 0.000
5 Pb 0.500 0.500 0.500


Record 6
Here is an optimized crystal structure of SrGePb3 from the Alexandria database. Energies are from GGA-PBE.

Values from the calculation:
Crystal system: cubic
Density, Mg/m³: 7.27
Calculated formation energy, eV/f.u.: 0.54

a = 5.630 Å, b = 5.630 Å, c = 5.630 Å
α = 90.00°, β = 90.00°, γ = 90.00°
Fractional positions:
1 Sr 0.000 0.000 0.000
2 Ge 0.500 0.500 0.500
3 Pb 0.000 0.500 0.500
4 Pb 0.500 0.000 0.500
5 Pb 0.500 0.500 0.000


Record 7
Here is an optimized crystal structure of SrGe2Pb from the Alexandria database. Energies are from GGA-PBE.

Values from the calculation:
Crystal system: tetragonal
Density, Mg/m³: 7.09
Calculated formation energy, eV/f.u.: -0.72

a = 4.791 Å, b = 4.791 Å, c = 4.493 Å
α = 90.00°, β = 90.00°, γ = 90.00°
Fractional positions:
1 Sr 0.000 0.000 0.000
2 Ge 0.000 0.500 0.500
3 Ge 0.500 0.000 0.500
4 Pb 0.500 0.500 0.000


Record 8
Here is an optimized crystal structure of SrGe2Pb2 from the Alexandria database. Energies are from GGA-PBE.

Values from the calculation:
Crystal system: tetragonal
Density, Mg/m³: 7.19
Calculated formation energy, eV/f.u.: -0.89

a = 7.323 Å, b = 7.323 Å, c = 7.323 Å
α = 141.73°, β = 141.73°, γ = 55.23°
Fractional positions:
1 Sr 0.000 0.000 0.000
2 Ge 0.404 0.404 0.000
3 Ge 0.596 0.596 0.000
4 Pb 0.250 0.750 0.500
5 Pb 0.750 0.250 0.500